(1)
The following is a DFT calculation (PBE) of a geometry-optimized EuGdSn structure.

Energy relative to the lowest polymorph listed for this composition (meV per atom): 52

a = 5.305 Å, b = 5.305 Å, c = 3.843 Å
α = 90.00°, β = 90.00°, γ = 120.00°
Positions (direct):
Eu 0.000 0.000 0.000
Gd 0.333 0.667 0.437
Sn 0.667 0.333 0.649

=====

(2)
The following is a DFT calculation (PBE) of a geometry-optimized TbEuGdSn structure.

Uncorrected energy (eV per atom): -8.500

a = 5.487 Å, b = 5.487 Å, c = 5.487 Å
α = 60.00°, β = 60.00°, γ = 60.00°
Positions (direct):
Tb 0.000 0.000 0.000
Eu 0.750 0.750 0.750
Gd 0.500 0.500 0.500
Sn 0.250 0.250 0.250

=====

(3)
The following is a DFT calculation (PBE) of a geometry-optimized EuGdTmSn structure.

Uncorrected energy (eV per atom): -8.445

a = 5.448 Å, b = 5.448 Å, c = 5.448 Å
α = 60.00°, β = 60.00°, γ = 60.00°
Positions (direct):
Eu 0.000 0.000 0.000
Gd 0.750 0.750 0.750
Tm 0.250 0.250 0.250
Sn 0.500 0.500 0.500

=====

(4)
The following is a DFT calculation (PBE) of a geometry-optimized Sr2EuGd structure.

Energy relative to the lowest polymorph listed for this composition (meV per atom): 57

a = 6.319 Å, b = 6.319 Å, c = 6.319 Å
α = 60.00°, β = 60.00°, γ = 60.00°
Positions (direct):
Sr 0.250 0.250 0.250
Sr 0.750 0.750 0.750
Eu 0.000 0.000 0.000
Gd 0.500 0.500 0.500

=====

(5)
The following is a DFT calculation (PBE) of a geometry-optimized SrEuGd structure.

Energy relative to the lowest polymorph listed for this composition (meV per atom): 0

a = 3.880 Å, b = 3.880 Å, c = 9.541 Å
α = 90.00°, β = 90.00°, γ = 120.00°
Positions (direct):
Sr 0.000 0.000 0.000
Eu 0.333 0.667 0.641
Gd 0.667 0.333 0.327

=====

(6)
The following is a DFT calculation (PBE) of a geometry-optimized SrEuGd2 structure.

Uncorrected energy (eV per atom): -9.783

a = 13.299 Å, b = 13.299 Å, c = 13.299 Å
α = 15.97°, β = 15.97°, γ = 15.97°
Positions (direct):
Sr 0.000 0.000 0.000
Eu 0.500 0.500 0.500
Gd 0.090 0.090 0.090
Gd 0.910 0.910 0.910

=====

(7)
The following is a DFT calculation (PBE) of a geometry-optimized Sr2EuGd structure.

Energy relative to the lowest polymorph listed for this composition (meV per atom): 0

a = 3.974 Å, b = 3.974 Å, c = 11.381 Å
α = 90.00°, β = 90.00°, γ = 90.00°
Positions (direct):
Sr 0.000 0.000 0.236
Sr 0.000 0.000 0.764
Eu 0.500 0.500 0.500
Gd 0.500 0.500 0.000

=====

(8)
The following is a DFT calculation (PBE) of a geometry-optimized SrEuGd structure.

Energy relative to the lowest polymorph listed for this composition (meV per atom): 347

a = 10.512 Å, b = 10.512 Å, c = 10.512 Å
α = 160.64°, β = 160.64°, γ = 27.52°
Positions (direct):
Sr 0.000 0.000 0.000
Eu 0.342 0.342 0.000
Gd 0.176 0.176 0.000

=====

(9)
The following is a DFT calculation (PBE) of a geometry-optimized Sr2EuGd structure.

Energy relative to the lowest polymorph listed for this composition (meV per atom): 67

a = 5.556 Å, b = 5.556 Å, c = 5.837 Å
α = 90.00°, β = 90.00°, γ = 90.00°
Positions (direct):
Sr 0.000 0.500 0.000
Sr 0.500 0.000 0.000
Eu 0.000 0.000 0.500
Gd 0.500 0.500 0.500

=====

(10)
The following is a DFT calculation (PBE) of a geometry-optimized Tb4EuGd structure.

Uncorrected energy (eV per atom): -6.902

a = 6.704 Å, b = 6.704 Å, c = 6.704 Å
α = 60.00°, β = 60.00°, γ = 60.00°
Positions (direct):
Tb 0.377 0.377 0.377
Tb 0.377 0.377 0.870
Tb 0.377 0.870 0.377
Tb 0.870 0.377 0.377
Eu 0.000 0.000 0.000
Gd 0.750 0.750 0.750

=====

(11)
The following is a DFT calculation (PBE) of a geometry-optimized TbEuGd4 structure.

Uncorrected energy (eV per atom): -9.797

a = 10.544 Å, b = 10.544 Å, c = 10.544 Å
α = 60.00°, β = 60.00°, γ = 60.00°
Positions (direct):
Tb 0.000 0.000 0.000
Eu 0.750 0.750 0.750
Gd 0.298 0.901 0.901
Gd 0.901 0.298 0.901
Gd 0.901 0.901 0.298
Gd 0.901 0.901 0.901

=====

(12)
The following is a DFT calculation (PBE) of a geometry-optimized TbEuGd structure.

Uncorrected energy (eV per atom): -9.618

a = 8.139 Å, b = 8.139 Å, c = 8.139 Å
α = 153.92°, β = 153.92°, γ = 37.21°
Positions (direct):
Tb 0.000 0.000 0.000
Eu 0.329 0.329 0.000
Gd 0.650 0.650 0.000

=====

(13)
The following is a DFT calculation (PBE) of a geometry-optimized TbEuGdTh structure.

Uncorrected energy (eV per atom): -8.902

a = 5.766 Å, b = 5.766 Å, c = 5.766 Å
α = 60.00°, β = 60.00°, γ = 60.00°
Positions (direct):
Tb 0.000 0.000 0.000
Eu 0.750 0.750 0.750
Gd 0.500 0.500 0.500
Th 0.250 0.250 0.250

=====

(14)
The following is a DFT calculation (PBE) of a geometry-optimized TbEuGdTm structure.

Uncorrected energy (eV per atom): -8.217

a = 5.731 Å, b = 5.731 Å, c = 5.731 Å
α = 60.00°, β = 60.00°, γ = 60.00°
Positions (direct):
Tb 0.000 0.000 0.000
Eu 0.250 0.250 0.250
Gd 0.750 0.750 0.750
Tm 0.500 0.500 0.500

=====

(15)
The following is a DFT calculation (PBE) of a geometry-optimized EuGd3Tc structure.

Uncorrected energy (eV per atom): -12.541

a = 5.472 Å, b = 5.472 Å, c = 5.472 Å
α = 90.00°, β = 90.00°, γ = 90.00°
Positions (direct):
Eu 0.000 0.000 0.000
Gd 0.000 0.500 0.500
Gd 0.500 0.000 0.500
Gd 0.500 0.500 0.000
Tc 0.500 0.500 0.500

=====

(16)
The following is a DFT calculation (PBE) of a geometry-optimized EuGdTc4 structure.

Uncorrected energy (eV per atom): -9.125

a = 6.362 Å, b = 6.362 Å, c = 6.362 Å
α = 60.00°, β = 60.00°, γ = 60.00°
Positions (direct):
Eu 0.000 0.000 0.000
Gd 0.250 0.250 0.250
Tc 0.403 0.403 0.403
Tc 0.403 0.403 0.792
Tc 0.403 0.792 0.403
Tc 0.792 0.403 0.403

=====

Number 1: ρ 7.587 g cm⁻³. Number 2: ρ 8.344 g cm⁻³. Number 3: ρ 8.666 g cm⁻³. Number 4: ρ 4.509 g cm⁻³. Number 5: ρ 5.297 g cm⁻³. Number 6: ρ 5.928 g cm⁻³. Number 7: ρ 4.475 g cm⁻³. Number 8: ρ 5.163 g cm⁻³. Number 9: ρ 4.465 g cm⁻³. Number 10: ρ 7.364 g cm⁻³. Number 11: ρ 1.883 g cm⁻³. Number 12: ρ 7.472 g cm⁻³. Number 13: ρ 8.576 g cm⁻³. Number 14: ρ 7.948 g cm⁻³. Number 15: ρ 7.316 g cm⁻³. Number 16: ρ 6.394 g cm⁻³.